Record 1
Entry from the Open Quantum Materials Database: an optimized crystal structure of LuGePt2 (PBE).

Calculated values
Total magnetization ... 0.001 μB per atom
Uncorrected energy ... -49.36 eV for the cell shown
Density ... 13.9 g cm⁻³
SG ... P2_1/m, No. 11

Cell: 5.5765 3.8034 7.1858 Å, 90.00 90.88 90.00°
Last column: nearest neighbours and their distance in Å.
Sites, in units of the cell vectors:
1 Lu 0.3463 0.2500 0.6890  7 Pt 2.85-2.96
2 Ge 0.8937 0.7500 0.8321  5 Pt 2.58-2.59
3 Pt 0.6864 0.2500 0.0102  3 Ge 2.58-2.59, 2 Pt 2.82
4 Lu 0.6537 0.7500 0.3110  7 Pt 2.85-2.96
5 Pt 0.1589 0.7500 0.4069  2 Ge 2.58, 1 Lu 2.85
6 Pt 0.8411 0.2500 0.5931  2 Ge 2.58, 1 Lu 2.85
7 Pt 0.3136 0.7500 0.9898  3 Ge 2.58-2.59, 2 Pt 2.82
8 Ge 0.1063 0.2500 0.1679  5 Pt 2.58-2.59

Record 2
Entry from the Open Quantum Materials Database: an optimized crystal structure of SrPuPd (PBE).

Calculated values
Total magnetization ... 2.004 μB per atom
Uncorrected energy ... -21.41 eV for the cell shown
Density ... 7.9 g cm⁻³
SG ... F-43m, No. 216

Cell: 5.0784 5.0784 5.0784 Å, 60.00 60.00 60.00°
Last column: nearest neighbours and their distance in Å.
Sites, in units of the cell vectors:
1 Pu 0.2500 0.2500 0.2500  4 Pd 3.11
2 Sr 0.7500 0.7500 0.7500  4 Pd 3.11
3 Pd 0.0000 0.0000 0.0000  4 Pu 3.11, 4 Sr 3.11

Record 3
Entry from the Open Quantum Materials Database: an optimized crystal structure of Ba2Al4IrPt (PBE).

Calculated values
Total magnetization ... 0.003 μB per atom
Uncorrected energy ... -39.19 eV for the cell shown
Density ... 6.5 g cm⁻³
SG ... Amm2, No. 38

Cell: 7.3900 6.5522 6.5522 Å, 38.17 90.00 90.00°
Last column: nearest neighbours and their distance in Å.
Sites, in units of the cell vectors:
1 Al 0.6906 0.8101 0.8101  1 Ir 2.55, 2 Pt 2.59, 3 Al 2.76-2.82
2 Pt 0.5000 0.2794 0.2794  6 Al 2.58-2.59
3 Ba 0.0000 0.4562 0.4562  1 Ir 3.25, 6 Al 3.56-3.62
4 Al 0.1845 0.1906 0.1906  2 Ir 2.56, 1 Pt 2.58, 3 Al 2.73-2.76
5 Al 0.3094 0.8101 0.8101  1 Ir 2.55, 2 Pt 2.59, 3 Al 2.76-2.82
6 Al 0.8155 0.1906 0.1906  2 Ir 2.56, 1 Pt 2.58, 3 Al 2.73-2.76
7 Ir 0.0000 0.7184 0.7184  6 Al 2.55-2.56
8 Ba 0.5000 0.5447 0.5447  3 Pt 3.29-3.61, 6 Al 3.58-3.65

Record 4
Entry from the Open Quantum Materials Database: an optimized crystal structure of TaHgPd (PBE).

Calculated values
Total magnetization ... 0.026 μB per atom
Formation enthalpy at 0 K ... 0.328 eV per atom
Uncorrected energy ... -16.34 eV for the cell shown
Density ... 13.3 g cm⁻³
SG ... F-43m, No. 216

Cell: 4.4175 4.4175 4.4175 Å, 60.00 60.00 60.00°
Last column: nearest neighbours and their distance in Å.
Sites, in units of the cell vectors:
1 Pd 0.0000 0.0000 0.0000  4 Hg 2.71, 4 Ta 2.71
2 Hg 0.2500 0.2500 0.2500  4 Pd 2.71
3 Ta 0.7500 0.7500 0.7500  4 Pd 2.71

Record 5
Entry from the Open Quantum Materials Database: an optimized crystal structure of LaTaSn (PBE).

Calculated values
Total magnetization ... 1.052 μB per atom
Uncorrected energy ... -17.52 eV for the cell shown
Density ... 7.6 g cm⁻³
SG ... F-43m, No. 216

Cell: 5.1467 5.1467 5.1467 Å, 60.00 60.00 60.00°
Last column: nearest neighbours and their distance in Å.
Sites, in units of the cell vectors:
1 Ta 0.7500 0.7500 0.7500  4 La 3.15
2 Sn 0.2500 0.2500 0.2500  4 La 3.15
3 La 0.0000 0.0000 0.0000  4 Ta 3.15, 4 Sn 3.15

Record 6
Entry from the Open Quantum Materials Database: an optimized crystal structure of SrHgAsO (PBE).

Calculated values
Uncorrected energy ... -13.76 eV for the cell shown
Density ... 6.5 g cm⁻³
SG ... P4/mmm, No. 123

Cell: 4.3851 4.3851 5.0056 Å, 90.00 90.00 90.00°
Last column: nearest neighbours and their distance in Å.
Sites, in units of the cell vectors:
1 Sr 0.5000 0.5000 0.5000  2 O 2.50
2 As 0.0000 0.0000 0.5000  2 Hg 2.50
3 Hg 0.0000 0.0000 0.0000  2 As 2.50
4 O 0.5000 0.5000 0.0000  2 Sr 2.50

Record 7
Entry from the Open Quantum Materials Database: an optimized crystal structure of GdNbAs (PBE).

Calculated values
Total magnetization ... 0.052 μB per atom
Uncorrected energy ... -20.28 eV for the cell shown
Density ... 7.9 g cm⁻³
SG ... F-43m, No. 216

Cell: 4.5969 4.5969 4.5969 Å, 60.00 60.00 60.00°
Last column: nearest neighbours and their distance in Å.
Sites, in units of the cell vectors:
1 Nb 0.7500 0.7500 0.7500  4 As 2.81-2.82
2 As 0.0000 0.0000 0.0000  4 Nb 2.81-2.82, 4 Gd 2.82
3 Gd 0.2500 0.2500 0.2500  4 As 2.82

Record 8
Entry from the Open Quantum Materials Database: an optimized crystal structure of Mo2Pd3Pt (PBE).

Calculated values
Total magnetization ... 0.001 μB per atom
Formation enthalpy at 0 K ... -0.182 eV per atom
Uncorrected energy ... -44.37 eV for the cell shown
Density ... 12.9 g cm⁻³
SG ... Pmm2, No. 25

Cell: 2.7716 3.9687 8.2847 Å, 90.00 90.00 90.00°
Last column: nearest neighbours and their distance in Å.
Sites, in units of the cell vectors:
1 Mo 0.5000 0.5000 0.0019  4 Pt 2.77, 2 Mo 2.77, 6 Pd 2.78-2.80
2 Pt 0.0000 0.0000 0.1634  5 Pd 2.74-2.82, 5 Mo 2.77-2.79, 2 Pt 2.77
3 Mo 0.0000 0.0000 0.4997  9 Pd 2.76-2.78, 2 Mo 2.77, 1 Pt 2.79
4 Pd 0.5000 0.5000 0.3372  3 Pd 2.72-2.77, 5 Mo 2.77-2.78, 4 Pt 2.82
5 Pd 0.5000 0.5000 0.6653  7 Pd 2.72-2.79, 5 Mo 2.78-2.79
6 Pd 0.0000 0.0000 0.8326  1 Pt 2.74, 5 Mo 2.76-2.80, 6 Pd 2.77-2.79

Record 9
Entry from the Open Quantum Materials Database: an optimized crystal structure of Er2GaSe (PBE).

Calculated values
Total magnetization ... 0.001 μB per atom
Uncorrected energy ... -41.03 eV for the cell shown
Density ... 8.6 g cm⁻³
SG ... Cmcm, No. 63

Cell: 11.2477 11.2477 3.9961 Å, 90.00 90.00 158.45°
Last column: nearest neighbours and their distance in Å.
Sites, in units of the cell vectors:
1 Ga 0.9598 0.0402 0.2500  2 Ga 2.67, 4 Er 2.96
2 Se 0.6932 0.3068 0.2500  6 Er 2.82-2.92
3 Ga 0.0402 0.9598 0.7500  2 Ga 2.67, 4 Er 2.96
4 Er 0.5657 0.4343 0.2500  1 Se 2.82, 6 Ga 2.96-3.15
5 Er 0.4343 0.5657 0.7500  1 Se 2.82, 6 Ga 2.96-3.15
6 Er 0.8230 0.1770 0.2500  5 Se 2.87-2.92, 1 Ga 3.02
7 Se 0.3068 0.6932 0.7500  6 Er 2.82-2.92
8 Er 0.1770 0.8230 0.7500  5 Se 2.87-2.92, 1 Ga 3.02

Record 10
Entry from the Open Quantum Materials Database: an optimized crystal structure of GdDyTmScIn2 (PBE).

Calculated values
Total magnetization ... 0.071 μB per atom
Uncorrected energy ... -27.67 eV for the cell shown
Density ... 7.9 g cm⁻³
SG ... P3m1, No. 156

Cell: 5.2750 5.2750 6.6577 Å, 90.00 90.00 120.00°
Last column: nearest neighbours and their distance in Å.
Sites, in units of the cell vectors:
1 In 0.3333 0.6667 0.2517  3 Tm 3.05, 2 Sc 3.30-3.36
2 Sc 0.3333 0.6667 0.7468  5 In 3.05-3.36
3 Tm 0.6667 0.3333 0.2528  5 In 3.05-3.35
4 In 0.6667 0.3333 0.7489  3 Sc 3.05, 2 Tm 3.30-3.35
5 Dy 0.0000 0.0000 0.5062  2 Gd 3.25-3.41, 3 Sc 3.44, 6 In 3.45-3.49, 3 Tm 3.48
6 Gd 0.0000 0.0000 0.9936  2 Dy 3.25-3.41, 6 In 3.45-3.50, 3 Sc 3.46, 3 Tm 3.50

Record 11
Entry from the Open Quantum Materials Database: an optimized crystal structure of OsO3 (PBE).

Calculated values
Total magnetization ... 0.000 μB per atom
Uncorrected energy ... -58.18 eV for the cell shown
Density ... 8.0 g cm⁻³
SG ... C2/m, No. 12

Cell: 4.9757 4.9757 4.8860 Å, 100.78 100.78 119.04°
Last column: nearest neighbours and their distance in Å.
Sites, in units of the cell vectors:
1 O 0.0568 0.4216 0.7869  2 Os 1.89-1.98
2 Os 0.1480 0.8520 0.0000  6 O 1.89-1.98
3 O 0.2190 0.2190 0.2963  2 Os 1.94
4 O 0.7810 0.7810 0.7037  2 Os 1.94
5 Os 0.8520 0.1480 0.0000  6 O 1.89-1.98
6 O 0.9432 0.5784 0.2131  2 Os 1.89-1.98
7 O 0.4216 0.0568 0.7869  2 Os 1.89-1.98
8 O 0.5784 0.9432 0.2131  2 Os 1.89-1.98

Record 12
Entry from the Open Quantum Materials Database: an optimized crystal structure of NaTl2Cd (PBE).

Calculated values
Uncorrected energy ... -7.21 eV for the cell shown
Density ... 8.3 g cm⁻³
SG ... P4/mmm, No. 123

Cell: 4.8287 4.8287 4.6429 Å, 90.00 90.00 90.00°
Last column: nearest neighbours and their distance in Å.
Sites, in units of the cell vectors:
1 Cd 0.5000 0.5000 0.0000  8 Tl 3.35, 4 Na 3.41
2 Tl 0.0000 0.5000 0.5000  4 Cd 3.35, 4 Na 3.35, 4 Tl 3.41
3 Tl 0.5000 0.0000 0.5000  4 Cd 3.35, 4 Na 3.35, 4 Tl 3.41
4 Na 0.0000 0.0000 0.0000  8 Tl 3.35, 4 Cd 3.41